# 1
{
  "formula": "ReAuNF2",
  "functional": "GGA-PBE",
  "state": "relaxed",
  "lattice": [[4.232, 0.000, 0.000], [0.000, 4.232, 0.000], [0.000, 0.000, 3.821]],
  "species": ["Re", "Au", "N", "F", "F"],
  "fractional_positions": [[0.000, 0.000, 0.000], [0.500, 0.500, 0.500], [0.000, 0.000, 0.500], [0.000, 0.500, 0.000], [0.500, 0.000, 0.000]],
  "sg": "P4/mmm, No. 123",
  "de_polymorph_mev_per_atom": 0,
  "raw_formation_energy_mev_per_atom": -176.9
}

=====

# 2
{
  "formula": "CaLaS3",
  "functional": "GGA-PBE",
  "state": "relaxed",
  "lattice": [[5.060, 0.000, 0.000], [0.000, 5.060, 0.000], [0.000, 0.000, 5.060]],
  "species": ["Ca", "La", "S", "S", "S"],
  "fractional_positions": [[0.000, 0.000, 0.000], [0.500, 0.500, 0.500], [0.000, 0.000, 0.500], [0.000, 0.500, 0.000], [0.500, 0.000, 0.000]],
  "sg": "Pm-3m, No. 221",
  "de_polymorph_mev_per_atom": 20,
  "raw_formation_energy_mev_per_atom": -1125.3
}

=====

# 3
{
  "formula": "RuPt5Rh",
  "functional": "GGA-PBE",
  "state": "relaxed",
  "lattice": [[4.664, 0.000, 0.000], [0.000, 4.664, 0.000], [0.000, 0.000, 5.393]],
  "species": ["Ru", "Pt", "Pt", "Pt", "Pt", "Pt", "Rh"],
  "fractional_positions": [[0.000, 0.000, 0.000], [0.000, 0.500, 0.244], [0.000, 0.500, 0.756], [0.500, 0.000, 0.244], [0.500, 0.000, 0.756], [0.500, 0.500, 0.500], [0.000, 0.000, 0.500]],
  "sg": "P4/mmm, No. 123",
  "de_polymorph_mev_per_atom": 0,
  "ef_ev_per_atom": 0.252
}

=====

# 4
{
  "formula": "Fe2Os2Rh",
  "functional": "GGA-PBE",
  "state": "relaxed",
  "lattice": [[7.017, 0.000, 0.000], [0.000, 7.017, 0.000], [0.000, 0.000, 2.655]],
  "species": ["Fe", "Fe", "Fe", "Fe", "Os", "Os", "Os", "Os", "Rh", "Rh"],
  "fractional_positions": [[0.121, 0.379, 0.000], [0.379, 0.879, 0.000], [0.621, 0.121, 0.000], [0.879, 0.621, 0.000], [0.173, 0.673, 0.500], [0.327, 0.173, 0.500], [0.673, 0.827, 0.500], [0.827, 0.327, 0.500], [0.000, 0.000, 0.000], [0.500, 0.500, 0.000]],
  "sg": "P4/mbm, No. 127",
  "de_polymorph_mev_per_atom": 0,
  "ef_ev_per_atom": 0.213
}

=====

# 5
{
  "formula": "Np6US8",
  "functional": "GGA-PBE",
  "state": "relaxed",
  "lattice": [[0.000, 5.529, 5.529], [5.529, 0.000, 5.529], [5.529, 5.529, 0.000]],
  "species": ["Np", "Np", "Np", "Np", "Np", "Np", "U", "S", "S", "S", "S", "S", "S", "S", "S"],
  "fractional_positions": [[0.000, 0.000, 0.500], [0.000, 0.500, 0.000], [0.000, 0.500, 0.500], [0.500, 0.000, 0.000], [0.500, 0.000, 0.500], [0.500, 0.500, 0.000], [0.000, 0.000, 0.000], [0.249, 0.249, 0.751], [0.249, 0.751, 0.249], [0.249, 0.751, 0.751], [0.250, 0.250, 0.250], [0.750, 0.750, 0.750], [0.751, 0.249, 0.249], [0.751, 0.249, 0.751], [0.751, 0.751, 0.249]],
  "sg": "Fm-3m, No. 225",
  "raw_formation_energy_mev_per_atom": -1373.4
}

=====

# 6
{
  "formula": "BaZrP4",
  "functional": "GGA-PBE",
  "state": "relaxed",
  "lattice": [[0.000, 3.880, 3.880], [3.880, 0.000, 3.880], [3.880, 3.880, 0.000]],
  "species": ["Ba", "Zr", "P", "P", "P", "P"],
  "fractional_positions": [[0.000, 0.000, 0.000], [0.250, 0.250, 0.250], [0.154, 0.615, 0.615], [0.615, 0.154, 0.615], [0.615, 0.615, 0.154], [0.615, 0.615, 0.615]],
  "sg": "F-43m, No. 216",
  "ef_ev_per_atom": 0.093
}

=====

# 7
{
  "formula": "Pm6Pb2CO",
  "functional": "GGA-PBE",
  "state": "relaxed",
  "lattice": [[0.000, 5.022, 5.022], [5.022, 0.000, 5.022], [5.022, 5.022, 0.000]],
  "species": ["Pm", "Pm", "Pm", "Pm", "Pm", "Pm", "Pb", "Pb", "C", "O"],
  "fractional_positions": [[0.248, 0.248, 0.752], [0.248, 0.752, 0.248], [0.248, 0.752, 0.752], [0.752, 0.248, 0.248], [0.752, 0.248, 0.752], [0.752, 0.752, 0.248], [0.250, 0.250, 0.250], [0.750, 0.750, 0.750], [0.000, 0.000, 0.000], [0.500, 0.500, 0.500]],
  "sg": "Fm-3m, No. 225",
  "raw_formation_energy_mev_per_atom": -946.3
}

=====

# 8
{
  "formula": "CsAs2Pt3",
  "functional": "GGA-PBE",
  "state": "relaxed",
  "lattice": [[7.508, -2.034, 0.000], [7.508, 2.034, 0.000], [-3.330, 0.000, 9.141]],
  "species": ["Cs", "Cs", "As", "As", "As", "As", "Pt", "Pt", "Pt", "Pt", "Pt", "Pt"],
  "fractional_positions": [[0.137, 0.137, 0.044], [0.863, 0.863, 0.956], [0.192, 0.192, 0.699], [0.470, 0.470, 0.751], [0.530, 0.530, 0.249], [0.808, 0.808, 0.301], [0.057, 0.057, 0.406], [0.306, 0.306, 0.565], [0.406, 0.406, 0.366], [0.594, 0.594, 0.634], [0.694, 0.694, 0.435], [0.943, 0.943, 0.594]],
  "sg": "C2/m, No. 12",
  "ef_ev_per_atom": -0.418
}

=====

| no. | M_tot (μB/cell) | volume (Å³/atom) |
| --- | --- | --- |
| 1 | 0.0 | 13.69 |
| 2 | 0.0 | 25.92 |
| 3 | 1.1 | 16.76 |
| 4 | 0.0 | 13.07 |
| 5 | 28.4 | 22.54 |
| 6 | 0.0 | 19.47 |
| 7 | 0.0 | 25.33 |
| 8 | 0.0 | 23.26 |